1.
The following is a PBE-GGA calculation of crystalline BaAc4Pm at its relaxed geometry, from Alexandria via LeMat-Bulk.

a = 7.3956 Å, b = 7.3956 Å, c = 7.3956 Å
α = 60.00°, β = 60.00°, γ = 60.00°
With the nearest neighbours (Å) after each atom.
Fractional coordinates of all 6 atoms:
Ac 0.6271 0.6271 0.1187  6 Ac 3.64-3.76
Ac 0.6271 0.1187 0.6271  6 Ac 3.64-3.76
Ac 0.6271 0.6271 0.6271  6 Ac 3.64-3.76
Ac 0.1187 0.6271 0.6271  6 Ac 3.64-3.76
Ba 0.2500 0.2500 0.2500  12 Ac 4.34, 4 Pm 4.53
Pm 0.0000 0.0000 0.0000  12 Ac 4.33, 4 Ba 4.53

Properties
- Formation energy: 276 meV per atom
- E: -21.45 eV per cell
- Space group: F-43m
- Relative energy among the computed polymorphs: 131 kJ/mol of formula units

2.
The following is a PBE-GGA calculation of crystalline BaAcPmPr at its relaxed geometry, from Alexandria via LeMat-Bulk.

a = 6.2171 Å, b = 6.2171 Å, c = 6.2171 Å
α = 60.00°, β = 60.00°, γ = 60.00°
With the nearest neighbours (Å) after each atom.
Fractional coordinates of all 4 atoms:
Pr 0.7500 0.7500 0.7500  4 Ac 3.81, 4 Pm 3.81
Ac 0.5000 0.5000 0.5000  4 Pr 3.81, 4 Ba 3.81
Ba 0.2500 0.2500 0.2500  4 Ac 3.81, 4 Pm 3.81
Pm 0.0000 0.0000 0.0000  4 Ba 3.81, 4 Pr 3.81

Properties
- Formation energy: 237 meV per atom
- E: -14.61 eV per cell
- Space group: F-43m

3.
The following is a PBE-GGA calculation of crystalline BaAcPm2S4 at its relaxed geometry, from Alexandria via LeMat-Bulk.

a = 4.1684 Å, b = 7.3723 Å, c = 7.2744 Å
α = 71.15°, β = 90.00°, γ = 90.00°
With the nearest neighbours (Å) after each atom.
Fractional coordinates of all 8 atoms:
Ba 0.5000 0.5000 0.0000  6 S 3.10-3.11
Ac 0.0000 0.5000 0.5000  6 S 3.05-3.06
Pm 0.0000 0.0000 0.0000  6 S 2.91
Pm 0.5000 0.0000 0.5000  6 S 2.86
S 0.0000 0.7762 0.7351  3 Pm 2.86-2.91, 1 Ac 3.05, 2 Ba 3.11
S 0.0000 0.2238 0.2649  3 Pm 2.86-2.91, 1 Ac 3.05, 2 Ba 3.11
S 0.5000 0.7716 0.2478  3 Pm 2.86-2.91, 2 Ac 3.06, 1 Ba 3.10
S 0.5000 0.2284 0.7522  3 Pm 2.86-2.91, 2 Ac 3.06, 1 Ba 3.10

Properties
- Formation energy without anion corrections: -2005.7 meV per atom
- E: -48.09 eV per cell
- Space group: P2/m

4.
The following is a PBE-GGA calculation of crystalline BaAcPm2Se4 at its relaxed geometry, from Alexandria via LeMat-Bulk.

a = 4.3302 Å, b = 7.6451 Å, c = 7.5596 Å
α = 71.15°, β = 90.00°, γ = 90.00°
With the nearest neighbours (Å) after each atom.
Fractional coordinates of all 8 atoms:
Ba 0.0000 0.5000 0.5000  6 Se 3.21-3.22
Ac 0.5000 0.5000 0.0000  6 Se 3.17
Pm 0.0000 0.0000 0.0000  6 Se 2.98
Pm 0.5000 0.0000 0.5000  6 Se 3.02-3.03
Se 0.0000 0.7704 0.7475  3 Pm 2.98-3.02, 2 Ac 3.17, 1 Ba 3.21
Se 0.0000 0.2296 0.2525  3 Pm 2.98-3.02, 2 Ac 3.17, 1 Ba 3.21
Se 0.5000 0.7744 0.2365  3 Pm 2.98-3.03, 1 Ac 3.17, 2 Ba 3.22
Se 0.5000 0.2256 0.7635  3 Pm 2.98-3.03, 1 Ac 3.17, 2 Ba 3.22

Properties
- Formation energy without anion corrections: -1868.5 meV per atom
- E: -44.42 eV per cell
- Space group: P2/m

5.
The following is a PBE-GGA calculation of crystalline BaAc2PmSe4 at its relaxed geometry, from Alexandria via LeMat-Bulk.

a = 4.4293 Å, b = 7.6938 Å, c = 7.7472 Å
α = 70.88°, β = 90.00°, γ = 90.00°
With the nearest neighbours (Å) after each atom.
Fractional coordinates of all 8 atoms:
Ba 0.5000 0.5000 0.0000  6 Se 3.19-3.20
Ac 0.0000 0.0000 0.0000  6 Se 3.22
Ac 0.5000 0.0000 0.5000  6 Se 3.10-3.11
Pm 0.0000 0.5000 0.5000  6 Se 3.07-3.08
Se 0.0000 0.7518 0.7362  1 Pm 3.07, 3 Ac 3.10-3.22, 2 Ba 3.20
Se 0.0000 0.2482 0.2638  1 Pm 3.07, 3 Ac 3.10-3.22, 2 Ba 3.20
Se 0.5000 0.7416 0.2649  2 Pm 3.08, 3 Ac 3.11-3.22, 1 Ba 3.19
Se 0.5000 0.2584 0.7351  2 Pm 3.08, 3 Ac 3.11-3.22, 1 Ba 3.19

Properties
- Formation energy without anion corrections: -1859.4 meV per atom
- E: -43.70 eV per cell
- Space group: P2/m

6.
The following is a PBE-GGA calculation of crystalline Ba3Ac2PmSe6 at its relaxed geometry, from Alexandria via LeMat-Bulk.

a = 7.7917 Å, b = 7.7917 Å, c = 7.9428 Å
α = 99.43°, β = 99.43°, γ = 119.96°
With the nearest neighbours (Å) after each atom.
Fractional coordinates of all 12 atoms:
Ba 0.1689 0.8311 0.5000  6 Se 3.28-3.34
Ba 0.8311 0.1689 0.5000  6 Se 3.28-3.34
Ba 0.5000 0.5000 0.5000  6 Se 3.27-3.36
Ac 0.3337 0.6663 0.0000  6 Se 3.15
Ac 0.6663 0.3337 0.0000  6 Se 3.15
Pm 0.0000 0.0000 0.0000  6 Se 3.05-3.06
Se 0.9240 0.6005 0.7718  1 Pm 3.05, 2 Ac 3.15, 3 Ba 3.27-3.34
Se 0.7537 0.7537 0.2307  1 Pm 3.06, 2 Ac 3.15, 3 Ba 3.28-3.36
Se 0.0760 0.3995 0.2282  1 Pm 3.05, 2 Ac 3.15, 3 Ba 3.27-3.34
Se 0.6005 0.9240 0.7718  1 Pm 3.05, 2 Ac 3.15, 3 Ba 3.27-3.34
Se 0.2463 0.2463 0.7693  1 Pm 3.06, 2 Ac 3.15, 3 Ba 3.28-3.36
Se 0.3995 0.0760 0.2282  1 Pm 3.05, 2 Ac 3.15, 3 Ba 3.27-3.34

Properties
- Formation energy without anion corrections: -1936.4 meV per atom
- E: -62.88 eV per cell
- Space group: C2/m